The following is a PBE calculation of a geometry-optimized AcEuRu structure, from the Alexandria database.

Cell lengths 3.640, 3.640, 7.378 Å; angles 104.28, 104.28, 90.00 degrees
Each line ends with the local moment (μB).
Element x y z (fractional)
Eu: 0.040 0.040 0.081  6.84
Ru: 0.669 0.669 0.338  -0.19
Ac: 0.291 0.291 0.581  0.03

Calculated values
calculated density: 8702 kg/m³
energy above the lowest structure with this stoichiometry: 0 meV per atom
space-group type: No. 107
volume: 30.534 Å³ per atom
energy: -7.85 eV/atom

The following is a PBE calculation of a geometry-optimized Ac2EuRu structure, from the Alexandria database.

Cell lengths 4.238, 4.238, 10.383 Å; angles 78.22, 78.22, 60.00 degrees
Each line ends with the local moment (μB).
Element x y z (fractional)
Eu: 0.500 0.500 0.500  6.96
Ru: 0.000 0.000 0.000  -0.01
Ac: 0.280 0.280 0.159  0.00
Ac: 0.720 0.720 0.841  0.00

Calculated values
calculated density: 7479 kg/m³
energy above the lowest structure with this stoichiometry: 0 meV per atom
space-group type: No. 166
volume: 39.244 Å³ per atom
energy: -7.03 eV/atom

The following is a PBE calculation of a geometry-optimized AcEu3S structure, from the Alexandria database.

Cell lengths 5.743, 5.743, 5.743 Å; angles 90.00, 90.00, 90.00 degrees
Each line ends with the local moment (μB).
Element x y z (fractional)
Eu: 0.000 0.500 0.000  6.94
Eu: 0.000 0.000 0.500  6.94
Eu: 0.500 0.000 0.000  6.94
Ac: 0.500 0.500 0.500  0.23
S: 0.000 0.000 0.000  -0.06

Calculated values
E_form (uncorrected): -668 meV/atom
calculated density: 6267 kg/m³
space-group type: No. 221
volume: 37.890 Å³ per atom
energy: -8.48 eV/atom

The following is a PBE calculation of a geometry-optimized Ac3EuS structure, from the Alexandria database.

Cell lengths 5.905, 5.905, 5.905 Å; angles 90.00, 90.00, 90.00 degrees
Each line ends with the local moment (μB).
Element x y z (fractional)
Eu: 0.500 0.500 0.500  6.90
Ac: 0.000 0.500 0.000  0.01
Ac: 0.000 0.000 0.500  0.01
Ac: 0.500 0.000 0.000  0.01
S: 0.000 0.000 0.000  0.00

Calculated values
E_form (uncorrected): -691 meV/atom
calculated density: 6975 kg/m³
space-group type: No. 221
volume: 41.185 Å³ per atom
energy: -6.04 eV/atom

The following is a PBE calculation of a geometry-optimized AcEuS2 structure, from the Alexandria database.

Cell lengths 4.221, 4.221, 7.359 Å; angles 73.34, 73.34, 60.00 degrees
Each line ends with the local moment (μB).
Element x y z (fractional)
Eu: 0.500 0.500 0.500  -6.79
Ac: 0.000 0.000 0.000  0.00
S: 0.246 0.246 0.261  0.03
S: 0.754 0.754 0.739  0.03

Calculated values
E_form (uncorrected): -2071 meV/atom
calculated density: 6869 kg/m³
energy above the lowest structure with this stoichiometry: 0 meV per atom
space-group type: No. 166
volume: 26.779 Å³ per atom
energy: -7.73 eV/atom

The following is a PBE calculation of a geometry-optimized AcEuS2 structure, from the Alexandria database.

Cell lengths 3.662, 5.154, 5.154 Å; angles 90.00, 90.00, 90.00 degrees
Each line ends with the local moment (μB).
Element x y z (fractional)
Eu: 0.500 0.500 0.500  -6.96
Ac: 0.500 0.000 0.000  -0.16
S: 0.000 0.000 0.500  0.03
S: 0.000 0.500 0.000  0.03

Calculated values
E_form (uncorrected): -1766 meV/atom
calculated density: 7562 kg/m³
energy above the lowest structure with this stoichiometry: 305 meV per atom
space-group type: No. 123
volume: 24.324 Å³ per atom
energy: -7.43 eV/atom

The following is a PBE calculation of a geometry-optimized AcEuSb structure, from the Alexandria database.

Cell lengths 4.549, 5.283, 5.283 Å; angles 120.00, 90.00, 90.00 degrees
Each line ends with the local moment (μB).
Element x y z (fractional)
Eu: 0.779 0.667 0.333  6.89
Sb: 0.912 0.000 0.000  -0.03
Ac: 0.309 0.333 0.667  0.07

Calculated values
E_form (uncorrected): -542 meV/atom
calculated density: 7564 kg/m³
energy above the lowest structure with this stoichiometry: 105 meV per atom
space-group type: No. 156
volume: 36.643 Å³ per atom
energy: -6.71 eV/atom

The following is a PBE calculation of a geometry-optimized AcEuSb structure, from the Alexandria database.

Cell lengths 5.496, 5.496, 5.496 Å; angles 60.00, 60.00, 60.00 degrees
Each line ends with the local moment (μB).
Element x y z (fractional)
Eu: 0.000 0.000 0.000  7.00
Sb: 0.250 0.250 0.250  -0.05
Ac: 0.500 0.500 0.500  0.19

Calculated values
E_form (uncorrected): -646 meV/atom
calculated density: 7082 kg/m³
energy above the lowest structure with this stoichiometry: 1 meV per atom
space-group type: No. 216
volume: 39.134 Å³ per atom
energy: -6.81 eV/atom

The following is a PBE calculation of a geometry-optimized AcEuSb structure, from the Alexandria database.

Cell lengths 4.298, 4.298, 6.439 Å; angles 109.50, 109.50, 90.00 degrees
Each line ends with the local moment (μB).
Element x y z (fractional)
Eu: 0.639 0.639 0.278  7.08
Sb: 0.278 0.278 0.556  -0.03
Ac: 0.933 0.933 0.866  0.32

Calculated values
E_form (uncorrected): -648 meV/atom
calculated density: 7931 kg/m³
energy above the lowest structure with this stoichiometry: 0 meV per atom
space-group type: No. 107
volume: 34.946 Å³ per atom
energy: -6.82 eV/atom

The following is a PBE calculation of a geometry-optimized AcEuTlSb structure, from the Alexandria database.

Cell lengths 5.716, 5.716, 5.716 Å; angles 60.00, 60.00, 60.00 degrees
Each line ends with the local moment (μB).
Element x y z (fractional)
Eu: 0.750 0.750 0.750  6.87
Sb: 0.000 0.000 0.000  -0.01
Ac: 0.250 0.250 0.250  0.06
Tl: 0.500 0.500 0.500  0.02

Calculated values
E_form (uncorrected): -594 meV/atom
calculated density: 8869 kg/m³
space-group type: No. 216
volume: 33.006 Å³ per atom
energy: -5.81 eV/atom

The following is a PBE calculation of a geometry-optimized AcEuZnSb structure, from the Alexandria database.

Cell lengths 5.574, 5.574, 5.574 Å; angles 60.00, 60.00, 60.00 degrees
Each line ends with the local moment (μB).
Element x y z (fractional)
Eu: 0.750 0.750 0.750  6.90
Sb: 0.000 0.000 0.000  -0.03
Ac: 0.250 0.250 0.250  0.11
Zn: 0.500 0.500 0.500  0.03

Calculated values
E_form (uncorrected): -567 meV/atom
calculated density: 7676 kg/m³
space-group type: No. 216
volume: 30.619 Å³ per atom
energy: -5.51 eV/atom

The following is a PBE calculation of a geometry-optimized AcEu2Sc structure, from the Alexandria database.

Cell lengths 5.937, 5.937, 5.937 Å; angles 60.00, 60.00, 60.00 degrees
Each line ends with the local moment (μB).
Element x y z (fractional)
Eu: 0.250 0.250 0.250  -6.84
Eu: 0.750 0.750 0.750  -6.84
Sc: 0.500 0.500 0.500  -0.01
Ac: 0.000 0.000 0.000  -0.04

Calculated values
calculated density: 6463 kg/m³
energy above the lowest structure with this stoichiometry: 44 meV per atom
space-group type: No. 225
volume: 36.991 Å³ per atom
energy: -7.55 eV/atom

The following is a PBE calculation of a geometry-optimized AcEuSc2 structure, from the Alexandria database.

Cell lengths 5.683, 5.683, 5.683 Å; angles 60.00, 60.00, 60.00 degrees
Each line ends with the local moment (μB).
Element x y z (fractional)
Eu: 0.500 0.500 0.500  6.82
Sc: 0.250 0.250 0.250  -0.02
Sc: 0.750 0.750 0.750  -0.02
Ac: 0.000 0.000 0.000  -0.03

Calculated values
calculated density: 5998 kg/m³
energy above the lowest structure with this stoichiometry: 19 meV per atom
space-group type: No. 225
volume: 32.452 Å³ per atom
energy: -6.58 eV/atom

The following is a PBE calculation of a geometry-optimized AcEu2Sc structure, from the Alexandria database.

Cell lengths 3.653, 3.653, 13.083 Å; angles 81.98, 81.98, 60.00 degrees
Each line ends with the local moment (μB).
Element x y z (fractional)
Eu: 0.082 0.082 0.755  7.00
Eu: 0.918 0.918 0.245  7.00
Sc: 0.000 0.000 0.000  -0.02
Ac: 0.500 0.500 0.500  0.00

Calculated values
calculated density: 6410 kg/m³
energy above the lowest structure with this stoichiometry: 171 meV per atom
space-group type: No. 166
volume: 37.296 Å³ per atom
energy: -7.43 eV/atom

The following is a PBE calculation of a geometry-optimized AcEu2Sc structure, from the Alexandria database.

Cell lengths 5.460, 5.209, 5.209 Å; angles 90.00, 90.00, 90.00 degrees
Each line ends with the local moment (μB).
Element x y z (fractional)
Eu: 0.000 0.000 0.500  6.93
Eu: 0.000 0.500 0.000  6.93
Sc: 0.500 0.000 0.000  0.16
Ac: 0.500 0.500 0.500  0.13

Calculated values
calculated density: 6455 kg/m³
energy above the lowest structure with this stoichiometry: 14 meV per atom
space-group type: No. 123
volume: 37.035 Å³ per atom
energy: -7.58 eV/atom